[1]
A relaxed structure of Al2CdRu. Source: the Alexandria database, functional PBE-GGA.

Final energy (eV/atom): -4.55
Space-group type: No. 166
DOS(E_F) (states/eV/f.u.): 4.2
DFT formation energy (kJ/mol of formula units): -50

a = 9.0529 Å, b = 9.0529 Å, c = 9.0529 Å
α = 18.92°, β = 18.92°, γ = 18.92°
With the nearest neighbours (Å) after each atom.
Fractional positions:
Al 0.4870 0.4870 0.4870  3 Ru 2.54
Al 0.0130 0.0130 0.0130  3 Ru 2.54
Cd 0.2500 0.2500 0.2500  6 Cd 2.98, 6 Al 3.09
Ru 0.7500 0.7500 0.7500  6 Al 2.54

***

[2]
A relaxed structure of AlCdRu. Source: the Alexandria database, functional PBE-GGA.

Final energy (eV/atom): -4.65
Space-group type: No. 156
DOS(E_F) (states/eV/f.u.): 1.9
DFT formation energy (kJ/mol of formula units): -2

a = 4.3020 Å, b = 4.3020 Å, c = 3.0958 Å
α = 90.00°, β = 90.00°, γ = 120.00°
With the nearest neighbours (Å) after each atom.
Fractional positions:
Cd 0.3333 0.6667 0.3086  6 Al 2.78-3.10, 6 Ru 2.89-2.97, 2 Cd 3.10
Al 0.0000 0.0000 0.9088  3 Ru 2.51, 3 Cd 2.78
Ru 0.6667 0.3333 0.7827  3 Al 2.51

***

> Look up the DOS(E_F) of the second one.

1.9 states/eV/f.u.